Entry from Alexandria: a geometry-optimized Pu2TlTe structure (PBE).

Cell: 4.0759 4.0759 9.0262 Å, 76.95 76.95 60.00°
With the nearest neighbours (Å) after each atom.
Positions (direct):
Tl  0.5000  0.5000  0.5000  6 Pu 3.30
Te  0.0000  0.0000  0.0000  6 Pu 3.12
Pu  0.2552  0.2552  0.2343  3 Te 3.12, 3 Tl 3.30
Pu  0.7448  0.7448  0.7657  3 Te 3.12, 3 Tl 3.30

Computed properties:
The energy above the most stable polymorph in this dataset comes out at 99 meV per atom. As for the crystal system: trigonal. The space group is R-3m (166). The calculation puts the uncorrected formation energy at -0.3337 eV per atom. Its density of states at the Fermi level is 23.49 states/eV per cell.